# 1
Below is ZnB2As after structural relaxation, with properties calculated at the GGA-PBE level.

a = 4.147 Å, b = 4.147 Å, c = 4.147 Å
α = 60.00°, β = 60.00°, γ = 60.00°
Sites, in units of the cell vectors:
Zn: 0.000 0.000 0.000
B: 0.250 0.250 0.250
B: 0.500 0.500 0.500
As: 0.750 0.750 0.750

- Volume: 12.61 A^3/atom
- Total energy: -3.26 eV/atom



# 2
Below is Zr4B3As after structural relaxation, with properties calculated at the GGA-PBE level.

a = 3.491 Å, b = 3.491 Å, c = 24.471 Å
α = 90.00°, β = 90.00°, γ = 120.00°
Sites, in units of the cell vectors:
Zr: 0.000 0.000 0.172
Zr: 0.000 0.000 0.328
Zr: 0.000 0.000 0.672
Zr: 0.000 0.000 0.828
Zr: 0.333 0.667 0.058
Zr: 0.333 0.667 0.442
Zr: 0.667 0.333 0.558
Zr: 0.667 0.333 0.942
B: 0.000 0.000 0.000
B: 0.000 0.000 0.500
B: 0.333 0.667 0.618
B: 0.333 0.667 0.882
B: 0.667 0.333 0.118
B: 0.667 0.333 0.382
As: 0.333 0.667 0.250
As: 0.667 0.333 0.750

- Total moment: 0.0 Bohr magnetons per cell
- Volume: 16.14 A^3/atom
- Total energy: -7.97 eV/atom



# 3
Below is ZrB4As after structural relaxation, with properties calculated at the GGA-PBE level.

a = 4.891 Å, b = 4.891 Å, c = 4.891 Å
α = 143.50°, β = 113.24°, γ = 78.55°
Sites, in units of the cell vectors:
Zr: 0.000 0.000 0.000
B: 0.083 0.750 0.333
B: 0.417 0.750 0.667
B: 0.583 0.250 0.333
B: 0.917 0.250 0.667
As: 0.500 0.500 0.000

- E above lowest polymorph: 0.0262 eV per atom
- Total moment: 0.0 Bohr magnetons per cell
- Volume: 10.40 A^3/atom
- Total energy: -6.66 eV/atom



# 4
Below is Zr2B2As after structural relaxation, with properties calculated at the GGA-PBE level.

a = 6.447 Å, b = 6.447 Å, c = 3.480 Å
α = 90.00°, β = 90.00°, γ = 150.90°
Sites, in units of the cell vectors:
Zr: 0.136 0.864 0.000
Zr: 0.864 0.136 0.000
B: 0.274 0.726 0.500
B: 0.726 0.274 0.500
As: 0.500 0.500 0.500

- Total moment: 0.0 Bohr magnetons per cell
- Volume: 14.07 A^3/atom
- Total energy: -7.77 eV/atom



# 5
Below is ZrB4As after structural relaxation, with properties calculated at the GGA-PBE level.

a = 3.127 Å, b = 3.127 Å, c = 7.376 Å
α = 90.00°, β = 90.00°, γ = 120.00°
Sites, in units of the cell vectors:
Zr: 0.000 0.000 0.000
B: 0.333 0.667 0.243
B: 0.333 0.667 0.757
B: 0.667 0.333 0.243
B: 0.667 0.333 0.757
As: 0.000 0.000 0.500

- E above lowest polymorph: 0.0000 eV per atom
- Total moment: 0.0 Bohr magnetons per cell
- Volume: 10.41 A^3/atom
- Total energy: -6.69 eV/atom



# 6
Below is ZrBAs after structural relaxation, with properties calculated at the GGA-PBE level.

a = 4.309 Å, b = 4.309 Å, c = 4.309 Å
α = 60.00°, β = 60.00°, γ = 60.00°
Sites, in units of the cell vectors:
Zr: 0.000 0.000 0.000
B: 0.250 0.250 0.250
As: 0.750 0.750 0.750

- E above lowest polymorph: 0.2515 eV per atom
- Total moment: 0.0 Bohr magnetons per cell
- Volume: 18.86 A^3/atom
- Total energy: -6.08 eV/atom



# 7
Below is ZrBAs after structural relaxation, with properties calculated at the GGA-PBE level.

a = 4.112 Å, b = 4.112 Å, c = 4.112 Å
α = 60.00°, β = 60.00°, γ = 60.00°
Sites, in units of the cell vectors:
Zr: 0.000 0.000 0.000
B: 0.750 0.750 0.750
As: 0.500 0.500 0.500

- E above lowest polymorph: 0.0000 eV per atom
- Total moment: 0.0 Bohr magnetons per cell
- Volume: 16.38 A^3/atom
- Total energy: -6.33 eV/atom



# 8
Below is BaBeCoAs2 after structural relaxation, with properties calculated at the GGA-PBE level.

a = 6.815 Å, b = 6.815 Å, c = 6.815 Å
α = 145.88°, β = 145.88°, γ = 49.03°
Sites, in units of the cell vectors:
Ba: 0.000 0.000 0.000
Be: 0.250 0.750 0.500
Co: 0.750 0.250 0.500
As: 0.348 0.348 0.000
As: 0.652 0.652 0.000

- Total moment: 0.0 Bohr magnetons per cell
- Volume: 19.83 A^3/atom
- Total energy: -4.94 eV/atom



> total energy of number 2 (Zr4B3As)?

-7.97 eV/atom



> Look up the volume of the sixth one.

18.86 A^3/atom